First-principles (PBE-GGA) data for ZrBiI2 after structural relaxation, as listed in the Alexandria database.

Summary:
* DFT total energy: -4.0590 eV per atom
* formation energy without anion corrections: -0.177 eV per atom
* spin magnetization: 0.00 μB per cell
* crystal system: tetragonal

a b c (Å): 7.9446 7.9446 7.9446
angles (deg): 97.64 97.64 137.22
Fractional coordinates of all 8 atoms:
Zr  0.0000  0.0000  0.0000
Zr  0.7500  0.2500  0.5000
Bi  0.2500  0.7500  0.5000
Bi  0.5000  0.5000  0.0000
I  0.3750  0.2343  0.3593
I  0.7657  0.1250  0.1407
I  0.8750  0.0157  0.6407
I  0.9843  0.6250  0.8593

First-principles (PBE-GGA) data for Zr3BiI after structural relaxation, as listed in the Alexandria database.

Summary:
* DFT total energy: -5.4496 eV per atom
* formation energy without anion corrections: 0.766 eV per atom
* spin magnetization: 1.40 μB per cell
* crystal system: cubic

a b c (Å): 5.2795 5.2795 5.2795
angles (deg): 90.00 90.00 90.00
Fractional coordinates of all 5 atoms:
Zr  0.0000  0.0000  0.5000
Zr  0.0000  0.5000  0.0000
Zr  0.5000  0.0000  0.0000
Bi  0.5000  0.5000  0.5000
I  0.0000  0.0000  0.0000

First-principles (PBE-GGA) data for ZrBiI after structural relaxation, as listed in the Alexandria database.

Summary:
* DFT total energy: -5.0380 eV per atom
* formation energy without anion corrections: -0.378 eV per atom
* spin magnetization: 0.00 μB per cell
* crystal system: monoclinic

a b c (Å): 7.8525 7.9174 6.6306
angles (deg): 90.00 104.53 90.00
Fractional coordinates of all 12 atoms:
Zr  0.9997  0.1267  0.2423
Zr  0.9997  0.3733  0.7423
Zr  0.0003  0.6267  0.2577
Zr  0.0003  0.8733  0.7577
Bi  0.2659  0.1345  0.9817
Bi  0.2659  0.3655  0.4817
Bi  0.7341  0.6345  0.5183
Bi  0.7341  0.8655  0.0183
I  0.2502  0.6256  0.9902
I  0.2502  0.8744  0.4902
I  0.7498  0.1256  0.5098
I  0.7498  0.3744  0.0098

First-principles (PBE-GGA) data for ZrBiI2 after structural relaxation, as listed in the Alexandria database.

Summary:
* DFT total energy: -3.7321 eV per atom
* formation energy without anion corrections: 0.150 eV per atom
* spin magnetization: 0.00 μB per cell
* crystal system: cubic

a b c (Å): 5.3929 5.3929 5.3929
angles (deg): 60.00 60.00 60.00
Fractional coordinates of all 4 atoms:
Zr  0.0000  0.0000  0.0000
Bi  0.5000  0.5000  0.5000
I  0.2500  0.2500  0.2500
I  0.7500  0.7500  0.7500

First-principles (PBE-GGA) data for InBi5 after structural relaxation, as listed in the Alexandria database.

Summary:
* DFT total energy: -3.5858 eV per atom
* ΔH_f (0 K): 0.1047 eV per atom
* spin magnetization: 0.00 μB per cell
* crystal system: orthorhombic

a b c (Å): 9.0461 9.0461 4.2006
angles (deg): 90.00 90.00 146.29
Fractional coordinates of all 6 atoms:
In  0.0000  0.0000  0.0000
Bi  0.1851  0.8149  0.5000
Bi  0.3494  0.6506  0.0000
Bi  0.5000  0.5000  0.5000
Bi  0.6506  0.3494  0.0000
Bi  0.8149  0.1851  0.5000

First-principles (PBE-GGA) data for In7Bi after structural relaxation, as listed in the Alexandria database.

Summary:
* DFT total energy: -2.8597 eV per atom
* ΔH_f (0 K): 0.0216 eV per atom
* spin magnetization: 0.00 μB per cell
* crystal system: tetragonal

a b c (Å): 10.4426 10.4426 10.4426
angles (deg): 153.59 153.59 37.70
Fractional coordinates of all 8 atoms:
In  0.0000  0.0000  0.0000
In  0.1264  0.6264  0.5000
In  0.2498  0.2498  0.0000
In  0.3736  0.8736  0.5000
In  0.6264  0.1264  0.5000
In  0.7502  0.7502  0.0000
In  0.8736  0.3736  0.5000
Bi  0.5000  0.5000  0.0000

no.,V (Å³/atom)
1,39.640
2,29.431
3,33.253
4,27.727
5,31.797
6,28.123